U2SeO2: relaxed, PBE-GGA.

Cell: 6.8976 6.2562 6.2442 Å, 66.98 56.59 56.43°
Sites, in units of the cell vectors:
U 0.0727 0.6773 0.0727
U 0.3227 0.9273 0.3227
U 0.6773 0.0727 0.6773
U 0.9273 0.3227 0.9273
Se 0.3750 0.3750 0.3750
Se 0.6250 0.6250 0.6250
O 0.0128 0.0128 0.7372
O 0.2628 0.2628 0.9872
O 0.7372 0.7372 0.0128
O 0.9872 0.9872 0.2628

YUSe2O: relaxed, PBE-GGA.

Cell: 3.9675 3.9675 13.9544 Å, 90.00 90.00 90.00°
Sites, in units of the cell vectors:
Y 0.2500 0.2500 0.1030
Y 0.7500 0.7500 0.8970
U 0.2500 0.2500 0.5894
U 0.7500 0.7500 0.4106
Se 0.2500 0.2500 0.3099
Se 0.2500 0.2500 0.8909
Se 0.7500 0.7500 0.1091
Se 0.7500 0.7500 0.6901
O 0.2500 0.7500 0.5000
O 0.7500 0.2500 0.5000

Yb2USe3O2: relaxed, PBE-GGA.

Cell: 11.3456 11.3456 11.3456 Å, 160.25 160.25 28.08°
Sites, in units of the cell vectors:
Yb 0.0000 0.0000 0.0000
Yb 0.3161 0.3161 0.0000
U 0.7025 0.7025 0.0000
Se 0.1349 0.1349 0.0000
Se 0.5235 0.5235 0.0000
Se 0.8704 0.8704 0.0000
O 0.2475 0.7475 0.5000
O 0.7475 0.2475 0.5000

Per-record VASP energy, eV/f.u.: -47.35 -40.23 -52.34
Per-record total magnetization, Bohr magnetons per cell: 12.0 4.9 0.0